The following is a GGA+U calculation of an optimized crystal structure of Li2V2OF6, from the Alexandria database.

Cell lengths 7.808, 7.400, 6.513 Å; angles 67.97, 116.24, 116.41 degrees
Positions (direct):
Li1 0.603 0.389 0.717
Li2 0.077 0.582 0.844
Li3 0.923 0.418 0.156
Li4 0.397 0.611 0.283
V1 0.199 0.050 0.531
V2 0.407 0.251 0.121
V3 0.593 0.749 0.879
V4 0.801 0.950 0.469
O1 0.991 0.186 0.400
O2 0.009 0.814 0.600
F1 0.165 0.046 0.212
F2 0.422 0.926 0.686
F3 0.347 0.191 0.805
F4 0.846 0.364 0.862
F5 0.332 0.516 0.945
F6 0.435 0.331 0.411
F7 0.565 0.669 0.589
F8 0.668 0.484 0.055
F9 0.154 0.636 0.138
F10 0.653 0.809 0.195
F11 0.578 0.074 0.314
F12 0.835 0.954 0.788

The calculation puts the polymorph energy (0 for the lowest one) at 10.2 kJ/mol of atoms. For the spin magnetization, the calculation gives 8.00 Bohr magnetons per cell. The total energy is -128.17 eV per cell.